1.
## AcPm15Nd4 (GGA-PBE)

Data for a relaxed structure of AcPm15Nd4.

```
data_AcPm15Nd4
_space_group_name_H-M_alt 'P 4/m m m'
_space_group_IT_number 123
_space_group_name_Hall '-P 4 2'
_cell_length_a 5.199
_cell_length_b 5.199
_cell_length_c 25.943
_cell_angle_alpha 90.00
_cell_angle_beta 90.00
_cell_angle_gamma 90.00
loop_
_atom_site_label
_atom_site_type_symbol
_atom_site_fract_x
_atom_site_fract_y
_atom_site_fract_z
_atom_site_occupancy
Ac1 Ac 0.000 0.000 0.000 1
Pm1 Pm 0.000 0.500 0.103 1
Pm2 Pm 0.000 0.500 0.302 1
Pm3 Pm 0.000 0.500 0.500 1
Pm4 Pm 0.500 0.500 0.000 1
Pm5 Pm 0.500 0.500 0.203 1
Pm6 Pm 0.500 0.500 0.401 1
Nd1 Nd 0.000 0.000 0.202 1
Nd2 Nd 0.000 0.000 0.401 1
```

=====

2.
# AcPm8Nd6, optimized geometry, DFT GGA-PBE
data_AcPm8Nd6
_space_group_name_H-M_alt 'R -3'
_space_group_IT_number 148
_space_group_name_Hall '-R 3'
_cell_length_a 9.5285
_cell_length_b 9.5285
_cell_length_c 20.4953
_cell_angle_alpha 90.00
_cell_angle_beta 90.00
_cell_angle_gamma 120.00
loop_
_atom_site_label
_atom_site_type_symbol
_atom_site_fract_x
_atom_site_fract_y
_atom_site_fract_z
_atom_site_occupancy
Ac1 Ac 0.0000 0.0000 0.0000 1
Pm1 Pm 0.0000 0.0000 0.4289 1
Pm2 Pm 0.0608 0.8137 0.1650 1
Nd1 Nd 0.0393 0.7969 0.6910 1
# Energy relative to the lowest polymorph listed for this composition, meV per atom: 0

=====

3.
# AcPmNd4, optimized geometry, DFT GGA-PBE
data_AcPmNd4
_space_group_name_H-M_alt 'C m c m'
_space_group_IT_number 63
_space_group_name_Hall '-C 2c 2'
_cell_length_a 6.730
_cell_length_b 11.627
_cell_length_c 11.402
_cell_angle_alpha 90.00
_cell_angle_beta 90.00
_cell_angle_gamma 90.00
loop_
_atom_site_label
_atom_site_type_symbol
_atom_site_fract_x
_atom_site_fract_y
_atom_site_fract_z
_atom_site_occupancy
Ac1 Ac 0.000 0.000 0.000 1
Pm1 Pm 0.000 0.173 0.250 1
Nd1 Nd 0.000 0.332 0.575 1
Nd2 Nd 0.241 0.414 0.250 1
# Energy relative to the lowest polymorph listed for this composition, meV per atom: 77

=====

| no. | formation enthalpy at 0 K (meV/atom) | theoretical density (g/cm³) | calculated total energy (eV per atom) |
| --- | --- | --- | --- |
| 1 | 18.7 | 7.055 | -4.703 |
| 2 | 145.6 | 6.963 | -4.569 |
| 3 | 247.7 | 7.065 | -4.407 |